# Co2SbTe

A relaxed structure of Co2SbTe (PBE, Alexandria).

Relative energy among the computed polymorphs: 390 meV per atom
VASP energy: -0.18716 hartree per atom
Uncorrected formation energy: 276 meV/atom

Unit cell a=6.8803 b=6.8803 c=6.8803 alpha=130.95 beta=130.95 gamma=71.89
Closest atoms and distances in Å follow each position.
Positions (direct):
Co (0.1205, 0.6250, 0.9955)  2 Te 2.44, 2 Sb 2.47
Co (0.3750, 0.3705, 0.4955)  2 Te 2.44, 2 Sb 2.47
Co (0.6295, 0.1250, 0.0045)  2 Te 2.44, 2 Sb 2.47
Co (0.8750, 0.8795, 0.5045)  2 Te 2.44, 2 Sb 2.47
Sb (0.2500, 0.7500, 0.5000)  4 Co 2.47
Sb (0.5000, 0.5000, 0.0000)  4 Co 2.47
Te (0.0000, 0.0000, 0.0000)  4 Co 2.44
Te (0.7500, 0.2500, 0.5000)  4 Co 2.44